Material: LiErTeO
Method: DFT, PBE
State: relaxed

## Properties
Volume = 19.71 A^3/atom
Space-group type = P2_1/c, No. 14
Spin magnetization = 0.00 Bohr magnetons per cell
Raw total energy = -5.741 eV/atom

Cell: 6.752 7.393 6.426 Å, 90.00 100.51 90.00°
Positions (direct):
Li (0.133, 0.218, 0.463)
Li (0.133, 0.282, 0.963)
Li (0.867, 0.718, 0.037)
Li (0.867, 0.782, 0.537)
Er (0.454, 0.620, 0.775)
Er (0.454, 0.880, 0.275)
Er (0.546, 0.120, 0.725)
Er (0.546, 0.380, 0.225)
Te (0.171, 0.570, 0.323)
Te (0.171, 0.930, 0.823)
Te (0.829, 0.070, 0.177)
Te (0.829, 0.430, 0.677)
O (0.403, 0.158, 0.396)
O (0.403, 0.342, 0.896)
O (0.597, 0.658, 0.104)
O (0.597, 0.842, 0.604)

***

Material: LiErTeO
Method: DFT, PBE
State: relaxed

## Properties
Volume = 18.74 A^3/atom
Space-group type = P4/nmm, No. 129
Spin magnetization = 0.00 Bohr magnetons per cell
Raw total energy = -5.838 eV/atom

Cell: 4.006 4.006 9.344 Å, 90.00 90.00 90.00°
Positions (direct):
Li (0.250, 0.750, 0.000)
Li (0.750, 0.250, 0.000)
Er (0.250, 0.250, 0.389)
Er (0.750, 0.750, 0.611)
Te (0.250, 0.250, 0.808)
Te (0.750, 0.750, 0.192)
O (0.250, 0.750, 0.500)
O (0.750, 0.250, 0.500)

***

Material: LiErTeO
Method: DFT, PBE
State: relaxed

## Properties
Volume = 22.12 A^3/atom
Space-group type = Pmc2_1, No. 26
Spin magnetization = 0.00 Bohr magnetons per cell
Raw total energy = -5.620 eV/atom

Cell: 3.947 6.620 6.773 Å, 90.00 90.00 90.00°
Positions (direct):
Li (0.000, 0.182, 0.000)
Li (0.000, 0.818, 0.500)
Er (0.500, 0.480, 0.287)
Er (0.500, 0.520, 0.787)
Te (0.000, 0.244, 0.548)
Te (0.000, 0.756, 0.048)
O (0.500, 0.300, 0.023)
O (0.500, 0.700, 0.523)

***

Material: LiErOs
Method: DFT, PBE
State: relaxed

## Properties
Volume = 18.08 A^3/atom
Space-group type = F-43m, No. 216
Spin magnetization = 0.09 Bohr magnetons per cell
Raw total energy = -5.381 eV/atom

Cell: 4.249 4.249 4.249 Å, 60.00 60.00 60.00°
Positions (direct):
Li (0.000, 0.000, 0.000)
Er (0.750, 0.750, 0.750)
Os (0.250, 0.250, 0.250)

***

Material: LiErPa
Method: DFT, PBE
State: relaxed

## Properties
Volume = 26.44 A^3/atom
Space-group type = F-43m, No. 216
Spin magnetization = 1.19 Bohr magnetons per cell
Raw total energy = -4.090 eV/atom

Cell: 4.823 4.823 4.823 Å, 60.00 60.00 60.00°
Positions (direct):
Li (0.000, 0.000, 0.000)
Er (0.250, 0.250, 0.250)
Pa (0.500, 0.500, 0.500)

***

Material: LiErPbS3
Method: DFT, PBE
State: relaxed

## Properties
Volume = 22.15 A^3/atom
Space-group type = C2/m, No. 12
Spin magnetization = 0.00 Bohr magnetons per cell
Raw total energy = -5.148 eV/atom

Cell: 8.629 8.629 8.329 Å, 103.65 103.65 26.21°
Positions (direct):
Li (0.003, 0.003, 0.197)
Li (0.997, 0.997, 0.803)
Er (0.335, 0.335, 0.914)
Er (0.665, 0.665, 0.086)
Pb (0.366, 0.366, 0.436)
Pb (0.634, 0.634, 0.564)
S (0.000, 0.000, 0.500)
S (0.167, 0.167, 0.860)
S (0.171, 0.171, 0.310)
S (0.500, 0.500, 0.000)
S (0.829, 0.829, 0.690)
S (0.833, 0.833, 0.140)

***

Material: LiErPbS3
Method: DFT, PBE
State: relaxed

## Properties
Volume = 21.80 A^3/atom
Space-group type = Cmcm, No. 63
Spin magnetization = 0.01 Bohr magnetons per cell
Raw total energy = -5.105 eV/atom

Cell: 6.752 6.752 10.224 Å, 90.00 90.00 145.86°
Positions (direct):
Li (0.029, 0.971, 0.750)
Li (0.971, 0.029, 0.250)
Er (0.500, 0.500, 0.000)
Er (0.500, 0.500, 0.500)
Pb (0.248, 0.752, 0.250)
Pb (0.752, 0.248, 0.750)
S (0.135, 0.865, 0.563)
S (0.135, 0.865, 0.937)
S (0.425, 0.575, 0.750)
S (0.575, 0.425, 0.250)
S (0.865, 0.135, 0.063)
S (0.865, 0.135, 0.437)

***

Material: Li3SmEr2Pb3
Method: DFT, PBE
State: relaxed

## Properties
Volume = 24.06 A^3/atom
Space-group type = P-6m2, No. 187
Spin magnetization = 0.13 Bohr magnetons per cell
Raw total energy = -3.878 eV/atom

Cell: 4.768 4.768 10.999 Å, 90.00 90.00 120.00°
Positions (direct):
Li (0.000, 0.000, 0.000)
Li (0.333, 0.667, 0.305)
Li (0.333, 0.667, 0.695)
Sm (0.667, 0.333, 0.500)
Er (0.667, 0.333, 0.162)
Er (0.667, 0.333, 0.838)
Pb (0.000, 0.000, 0.321)
Pb (0.000, 0.000, 0.679)
Pb (0.333, 0.667, 0.000)